No. 1
## SmScCl6 (PBE)

Data for an optimized crystal structure of SmScCl6.

Computed properties:
Offset from the most stable computed form = 0.010 eV/atom
Formation energy without anion corrections = -2.143 eV/atom
Final energy = -4.9093 eV per atom
D(E_F) = 0.0 states/eV/f.u.

a = 7.1200 Å, b = 7.1200 Å, c = 7.1200 Å
α = 55.49°, β = 55.49°, γ = 55.49°
Positions (direct):
Sm1 0.0000 0.0000 0.0000
Sc1 0.5000 0.5000 0.5000
Cl1 0.1163 0.4076 0.7364
Cl2 0.2636 0.8837 0.5924
Cl3 0.4076 0.7364 0.1163
Cl4 0.5924 0.2636 0.8837
Cl5 0.7364 0.1163 0.4076
Cl6 0.8837 0.5924 0.2636

---

No. 2
## SmScCl5 (PBE)

Data for an optimized crystal structure of SmScCl5.

Computed properties:
Formation energy without anion corrections = -2.006 eV/atom
Final energy = -4.9034 eV per atom
D(E_F) = 5.4 states/eV/f.u.

a = 7.0474 Å, b = 7.0474 Å, c = 9.5019 Å
α = 109.39°, β = 109.39°, γ = 72.25°
Positions (direct):
Sm1 0.0559 0.9441 0.7500
Sm2 0.9441 0.0559 0.2500
Sc1 0.5000 0.5000 0.0000
Sc2 0.5000 0.5000 0.5000
Cl1 0.1697 0.7939 0.0347
Cl2 0.2061 0.8303 0.4653
Cl3 0.2220 0.2912 0.3697
Cl4 0.2912 0.2220 0.8697
Cl5 0.3919 0.6081 0.7500
Cl6 0.6081 0.3919 0.2500
Cl7 0.7088 0.7780 0.1303
Cl8 0.7780 0.7088 0.6303
Cl9 0.7939 0.1697 0.5347
Cl10 0.8303 0.2061 0.9653

---

No. 3
## SmScCl6 (PBE)

Data for an optimized crystal structure of SmScCl6.

Computed properties:
Offset from the most stable computed form = 0.000 eV/atom
Formation energy without anion corrections = -2.153 eV/atom
Final energy = -4.9196 eV per atom
D(E_F) = 0.0 states/eV/f.u.

a = 7.0664 Å, b = 7.0664 Å, c = 6.5054 Å
α = 97.41°, β = 97.41°, γ = 125.09°
Positions (direct):
Sm1 0.0000 0.0000 0.0000
Sc1 0.5000 0.5000 0.5000
Cl1 0.1304 0.4082 0.2674
Cl2 0.2582 0.2582 0.7396
Cl3 0.4082 0.1304 0.2674
Cl4 0.5918 0.8696 0.7326
Cl5 0.7418 0.7418 0.2604
Cl6 0.8696 0.5918 0.7326

---

No. 4
## SmSc2Cl (PBE)

Data for an optimized crystal structure of SmSc2Cl.

Computed properties:
Formation energy without anion corrections = -0.294 eV/atom
Final energy = -5.1016 eV per atom
D(E_F) = 4.2 states/eV/f.u.

a = 9.7881 Å, b = 9.7881 Å, c = 9.7881 Å
α = 20.29°, β = 20.29°, γ = 20.29°
Positions (direct):
Sm1 0.0000 0.0000 0.0000
Sc1 0.1100 0.1100 0.1100
Sc2 0.8900 0.8900 0.8900
Cl1 0.5000 0.5000 0.5000

---

No. 5
## ScSnCl3 (PBE)

Data for an optimized crystal structure of ScSnCl3.

Computed properties:
Offset from the most stable computed form = 0.686 eV/atom
Formation energy without anion corrections = -0.378 eV/atom
Final energy = -3.5524 eV per atom
D(E_F) = 14.6 states/eV/f.u.

a = 5.5103 Å, b = 5.5103 Å, c = 5.5103 Å
α = 90.00°, β = 90.00°, γ = 90.00°
Positions (direct):
Sc1 0.0000 0.0000 0.0000
Sn1 0.5000 0.5000 0.5000
Cl1 0.0000 0.5000 0.5000
Cl2 0.5000 0.0000 0.5000
Cl3 0.5000 0.5000 0.0000

---

No. 6
## ScSnCl3 (PBE)

Data for an optimized crystal structure of ScSnCl3.

Computed properties:
Offset from the most stable computed form = 0.000 eV/atom
Formation energy without anion corrections = -1.064 eV/atom
Final energy = -4.2388 eV per atom
D(E_F) = 4.2 states/eV/f.u.

a = 5.0673 Å, b = 5.0673 Å, c = 5.0673 Å
α = 90.00°, β = 90.00°, γ = 90.00°
Positions (direct):
Sc1 0.0000 0.0000 0.0000
Sn1 0.5000 0.5000 0.5000
Cl1 0.0000 0.0000 0.5000
Cl2 0.0000 0.5000 0.0000
Cl3 0.5000 0.0000 0.0000

---

No. 7
## ScTlSnCl6 (PBE)

Data for an optimized crystal structure of ScTlSnCl6.

Computed properties:
Formation energy without anion corrections = -1.522 eV/atom
Final energy = -4.1647 eV per atom
D(E_F) = 0.0 states/eV/f.u.

a = 7.0885 Å, b = 7.0885 Å, c = 6.8018 Å
α = 90.00°, β = 90.00°, γ = 120.00°
Positions (direct):
Sc1 0.0000 0.0000 0.0000
Tl1 0.3333 0.6667 0.5000
Sn1 0.6667 0.3333 0.0000
Cl1 0.2976 0.0183 0.2150
Cl2 0.2976 0.2793 0.7850
Cl3 0.7207 0.0183 0.7850
Cl4 0.7207 0.7024 0.2150
Cl5 0.9817 0.2793 0.2150
Cl6 0.9817 0.7024 0.7850

---

No. 8
## YScSnCl2 (PBE)

Data for an optimized crystal structure of YScSnCl2.

Computed properties:
Formation energy without anion corrections = -1.000 eV/atom
Final energy = -5.0981 eV per atom
D(E_F) = 0.2 states/eV/f.u.

a = 4.7767 Å, b = 4.7767 Å, c = 6.1963 Å
α = 90.00°, β = 90.00°, γ = 90.00°
Positions (direct):
Y1 0.0000 0.0000 0.0000
Sc1 0.5000 0.5000 0.5000
Sn1 0.5000 0.5000 0.0000
Cl1 0.0000 0.5000 0.5000
Cl2 0.5000 0.0000 0.5000

---

No. 9
## SrSc3Cl (PBE)

Data for an optimized crystal structure of SrSc3Cl.

Computed properties:
Offset from the most stable computed form = 1.481 eV/atom
Formation energy without anion corrections = 1.292 eV/atom
Final energy = -3.2123 eV per atom
D(E_F) = 7.4 states/eV/f.u.

a = 5.5040 Å, b = 5.5040 Å, c = 5.5040 Å
α = 90.00°, β = 90.00°, γ = 90.00°
Positions (direct):
Sr1 0.0000 0.0000 0.0000
Sc1 0.0000 0.0000 0.5000
Sc2 0.0000 0.5000 0.0000
Sc3 0.5000 0.0000 0.0000
Cl1 0.5000 0.5000 0.5000

---

No. 10
## Sr2ScCl (PBE)

Data for an optimized crystal structure of Sr2ScCl.

Computed properties:
Offset from the most stable computed form = 0.063 eV/atom
Formation energy without anion corrections = -0.586 eV/atom
Final energy = -3.4718 eV per atom
D(E_F) = 4.6 states/eV/f.u.

a = 3.7042 Å, b = 3.7042 Å, c = 9.7508 Å
α = 90.00°, β = 90.00°, γ = 90.00°
Positions (direct):
Sr1 0.0000 0.0000 0.2274
Sr2 0.0000 0.0000 0.7726
Sc1 0.5000 0.5000 0.5000
Cl1 0.5000 0.5000 0.0000

---

No. 11
## Sr2ScCl (PBE)

Data for an optimized crystal structure of Sr2ScCl.

Computed properties:
Offset from the most stable computed form = 0.312 eV/atom
Formation energy without anion corrections = -0.337 eV/atom
Final energy = -3.2225 eV per atom
D(E_F) = 5.3 states/eV/f.u.

a = 7.4648 Å, b = 7.4648 Å, c = 7.4648 Å
α = 106.16°, β = 106.16°, γ = 116.32°
Positions (direct):
Sr1 0.0531 0.6250 0.9281
Sr2 0.3750 0.3031 0.4281
Sr3 0.6969 0.1250 0.0719
Sr4 0.8750 0.9469 0.5719
Sc1 0.2500 0.7500 0.5000
Sc2 0.5000 0.5000 0.0000
Cl1 0.0000 0.0000 0.0000
Cl2 0.7500 0.2500 0.5000

---

No. 12
## Sr2ScCl (PBE)

Data for an optimized crystal structure of Sr2ScCl.

Computed properties:
Offset from the most stable computed form = 0.040 eV/atom
Formation energy without anion corrections = -0.609 eV/atom
Final energy = -3.4942 eV per atom
D(E_F) = 3.8 states/eV/f.u.

a = 3.7642 Å, b = 3.7642 Å, c = 10.1632 Å
α = 90.00°, β = 90.00°, γ = 110.66°
Positions (direct):
Sr1 0.0000 0.0000 0.2256
Sr2 0.0000 0.0000 0.7744
Sc1 0.5000 0.5000 0.5000
Cl1 0.5000 0.5000 0.0000

---

No. 13
## SrScCl5 (PBE)

Data for an optimized crystal structure of SrScCl5.

Computed properties:
Formation energy without anion corrections = -2.207 eV/atom
Final energy = -4.6711 eV per atom
D(E_F) = 0.0 states/eV/f.u.

a = 6.9499 Å, b = 6.9499 Å, c = 9.6337 Å
α = 105.58°, β = 105.58°, γ = 96.48°
Positions (direct):
Sr1 0.0759 0.9241 0.7500
Sr2 0.9241 0.0759 0.2500
Sc1 0.0000 0.5000 0.0000
Sc2 0.5000 0.0000 0.5000
Cl1 0.1936 0.2317 0.0563
Cl2 0.2178 0.7822 0.2500
Cl3 0.2309 0.6103 0.8753
Cl4 0.2317 0.1936 0.5563
Cl5 0.3897 0.7691 0.6247
Cl6 0.6103 0.2309 0.3753
Cl7 0.7683 0.8064 0.4437
Cl8 0.7691 0.3897 0.1247
Cl9 0.7822 0.2178 0.7500
Cl10 0.8064 0.7683 0.9437

---

No. 14
## Sr2ScCl (PBE)

Data for an optimized crystal structure of Sr2ScCl.

Computed properties:
Offset from the most stable computed form = 0.599 eV/atom
Formation energy without anion corrections = -0.050 eV/atom
Final energy = -2.9354 eV per atom
D(E_F) = 7.5 states/eV/f.u.

a = 6.3963 Å, b = 6.3963 Å, c = 6.3963 Å
α = 129.72°, β = 129.72°, γ = 73.85°
Positions (direct):
Sr1 0.2500 0.7500 0.5000
Sr2 0.7500 0.2500 0.5000
Sc1 0.0000 0.0000 0.0000
Cl1 0.5000 0.5000 0.0000

---

No. 15
## Sr2ScCl (PBE)

Data for an optimized crystal structure of Sr2ScCl.

Computed properties:
Offset from the most stable computed form = 0.193 eV/atom
Formation energy without anion corrections = -0.456 eV/atom
Final energy = -3.3411 eV per atom
D(E_F) = 3.1 states/eV/f.u.

a = 3.8029 Å, b = 3.8029 Å, c = 10.7381 Å
α = 90.00°, β = 90.00°, γ = 117.17°
Positions (direct):
Sr1 0.0000 0.0000 0.0000
Sr2 0.5000 0.5000 0.3275
Sc1 0.0000 0.0000 0.5940
Cl1 0.5000 0.5000 0.7776

---

No. 16
## Sr2ScCl (PBE)

Data for an optimized crystal structure of Sr2ScCl.

Computed properties:
Offset from the most stable computed form = 0.024 eV/atom
Formation energy without anion corrections = -0.625 eV/atom
Final energy = -3.5106 eV per atom
D(E_F) = 4.5 states/eV/f.u.

a = 3.9765 Å, b = 3.7881 Å, c = 9.8847 Å
α = 90.00°, β = 90.11°, γ = 90.00°
Positions (direct):
Sr1 0.0009 0.0000 0.2599
Sr2 0.9991 0.0000 0.7401
Sc1 0.5000 0.5000 0.0000
Cl1 0.0000 0.5000 0.5000

---

No. 17
## Sr2ScCl (PBE)

Data for an optimized crystal structure of Sr2ScCl.

Computed properties:
Offset from the most stable computed form = 0.000 eV/atom
Formation energy without anion corrections = -0.649 eV/atom
Final energy = -3.5344 eV per atom
D(E_F) = 3.9 states/eV/f.u.

a = 3.9304 Å, b = 3.9304 Å, c = 10.4380 Å
α = 100.83°, β = 100.83°, γ = 59.91°
Positions (direct):
Sr1 0.2389 0.2389 0.2199
Sr2 0.7611 0.7611 0.7801
Sc1 0.0000 0.0000 0.5000
Cl1 0.5000 0.5000 0.0000

---

No. 18
## Sr2ScCl (PBE)

Data for an optimized crystal structure of Sr2ScCl.

Computed properties:
Offset from the most stable computed form = 0.350 eV/atom
Formation energy without anion corrections = -0.299 eV/atom
Final energy = -3.1844 eV per atom
D(E_F) = 6.3 states/eV/f.u.

a = 5.5616 Å, b = 3.8524 Å, c = 6.8129 Å
α = 90.00°, β = 90.10°, γ = 90.00°
Positions (direct):
Sr1 0.0000 0.0000 0.0000
Sr2 0.5000 0.5000 0.5000
Sc1 0.0000 0.0000 0.5000
Cl1 0.5000 0.5000 0.0000

---

No. 19
## SrSc3Cl (PBE)

Data for an optimized crystal structure of SrSc3Cl.

Computed properties:
Offset from the most stable computed form = 0.000 eV/atom
Formation energy without anion corrections = -0.188 eV/atom
Final energy = -4.6931 eV per atom
D(E_F) = 9.4 states/eV/f.u.

a = 5.1115 Å, b = 5.1115 Å, c = 5.1115 Å
α = 90.00°, β = 90.00°, γ = 90.00°
Positions (direct):
Sr1 0.0000 0.0000 0.0000
Sc1 0.0000 0.5000 0.5000
Sc2 0.5000 0.0000 0.5000
Sc3 0.5000 0.5000 0.0000
Cl1 0.5000 0.5000 0.5000

---

No. 20
## Sr2ScCl (PBE)

Data for an optimized crystal structure of Sr2ScCl.

Computed properties:
Offset from the most stable computed form = 0.442 eV/atom
Formation energy without anion corrections = -0.207 eV/atom
Final energy = -3.0927 eV per atom
D(E_F) = 5.1 states/eV/f.u.

a = 7.8523 Å, b = 7.8523 Å, c = 7.8523 Å
α = 145.75°, β = 145.75°, γ = 49.22°
Positions (direct):
Sr1 0.0000 0.0000 0.0000
Sr2 0.7500 0.2500 0.5000
Sc1 0.5000 0.5000 0.0000
Cl1 0.2500 0.7500 0.5000

---

No. 21
## Sr2ScCl (PBE)

Data for an optimized crystal structure of Sr2ScCl.

Computed properties:
Offset from the most stable computed form = 0.213 eV/atom
Formation energy without anion corrections = -0.436 eV/atom
Final energy = -3.3215 eV per atom
D(E_F) = 5.3 states/eV/f.u.

a = 6.9393 Å, b = 6.9393 Å, c = 6.9393 Å
α = 149.32°, β = 124.11°, γ = 65.11°
Positions (direct):
Sr1 0.0000 0.0000 0.0000
Sr2 0.6854 0.1854 0.5000
Sc1 0.4014 0.4014 0.0000
Cl1 0.2222 0.7222 0.5000

---

No. 22
## Sr2ScCl (PBE)

Data for an optimized crystal structure of Sr2ScCl.

Computed properties:
Offset from the most stable computed form = 0.269 eV/atom
Formation energy without anion corrections = -0.380 eV/atom
Final energy = -3.2654 eV per atom
D(E_F) = 6.4 states/eV/f.u.

a = 6.9227 Å, b = 6.9227 Å, c = 6.9227 Å
α = 147.39°, β = 118.09°, γ = 71.75°
Positions (direct):
Sr1 0.2010 0.2010 0.0000
Sr2 0.7990 0.7990 0.0000
Sc1 0.5000 0.0000 0.5000
Cl1 0.0000 0.5000 0.5000

---

No. 23
## Sr2ScCl (PBE)

Data for an optimized crystal structure of Sr2ScCl.

Computed properties:
Offset from the most stable computed form = 0.764 eV/atom
Formation energy without anion corrections = 0.115 eV/atom
Final energy = -2.7708 eV per atom
D(E_F) = 5.3 states/eV/f.u.

a = 6.0178 Å, b = 6.0178 Å, c = 6.0178 Å
α = 60.00°, β = 60.00°, γ = 60.00°
Positions (direct):
Sr1 0.0000 0.0000 0.0000
Sr2 0.2500 0.2500 0.2500
Sc1 0.5000 0.5000 0.5000
Cl1 0.7500 0.7500 0.7500

---

No. 24
## Sr2ScCl (PBE)

Data for an optimized crystal structure of Sr2ScCl.

Computed properties:
Offset from the most stable computed form = 0.253 eV/atom
Formation energy without anion corrections = -0.396 eV/atom
Final energy = -3.2816 eV per atom
D(E_F) = 5.8 states/eV/f.u.

a = 3.8924 Å, b = 5.9557 Å, c = 7.2081 Å
α = 90.00°, β = 105.63°, γ = 90.00°
Positions (direct):
Sr1 0.0000 0.0000 0.0000
Sr2 0.3076 0.5000 0.6186
Sc1 0.7335 0.0000 0.4719
Cl1 0.9773 0.5000 0.9575

---

No. 25
## Sr2ScCl (PBE)

Data for an optimized crystal structure of Sr2ScCl.

Computed properties:
Offset from the most stable computed form = 0.197 eV/atom
Formation energy without anion corrections = -0.452 eV/atom
Final energy = -3.3377 eV per atom
D(E_F) = 5.4 states/eV/f.u.

a = 3.7732 Å, b = 3.7732 Å, c = 10.5566 Å
α = 90.00°, β = 90.00°, γ = 90.00°
Positions (direct):
Sr1 0.0000 0.0000 0.0000
Sr2 0.5000 0.5000 0.4344
Sc1 0.0000 0.0000 0.6712
Cl1 0.5000 0.5000 0.1354

---

No. 26
## Sr2ScCl (PBE)

Data for an optimized crystal structure of Sr2ScCl.

Computed properties:
Offset from the most stable computed form = 0.600 eV/atom
Formation energy without anion corrections = -0.049 eV/atom
Final energy = -2.9348 eV per atom
D(E_F) = 1.6 states/eV/f.u.

a = 6.0292 Å, b = 6.0292 Å, c = 6.0292 Å
α = 60.00°, β = 60.00°, γ = 60.00°
Positions (direct):
Sr1 0.2500 0.2500 0.2500
Sr2 0.7500 0.7500 0.7500
Sc1 0.0000 0.0000 0.0000
Cl1 0.5000 0.5000 0.5000

---

No. 27
## Sr2ScCl (PBE)

Data for an optimized crystal structure of Sr2ScCl.

Computed properties:
Offset from the most stable computed form = 0.235 eV/atom
Formation energy without anion corrections = -0.414 eV/atom
Final energy = -3.2992 eV per atom
D(E_F) = 4.9 states/eV/f.u.

a = 3.7514 Å, b = 3.7514 Å, c = 11.6263 Å
α = 90.00°, β = 90.00°, γ = 90.00°
Positions (direct):
Sr1 0.0000 0.0000 0.0000
Sr2 0.5000 0.5000 0.3048
Sc1 0.5000 0.5000 0.7813
Cl1 0.0000 0.0000 0.4297

---

No. 28
## SrSc4Cl (PBE)

Data for an optimized crystal structure of SrSc4Cl.

Computed properties:
Formation energy without anion corrections = 0.309 eV/atom
Final energy = -4.4996 eV per atom
D(E_F) = 11.4 states/eV/f.u.

a = 6.3922 Å, b = 6.3922 Å, c = 6.3922 Å
α = 60.00°, β = 60.00°, γ = 60.00°
Positions (direct):
Sr1 0.0000 0.0000 0.0000
Sc1 0.3722 0.3722 0.3722
Sc2 0.3722 0.3722 0.8833
Sc3 0.3722 0.8833 0.3722
Sc4 0.8833 0.3722 0.3722
Cl1 0.7500 0.7500 0.7500